Density functional theory data (PBE) for a relaxed ZrCdHg crystal.

Cell: 3.1768 3.1768 7.6859 Å, 90.00 90.00 120.00°
Space group P3m1 (No. 156)
Inequivalent atoms, fractional coordinates:
Zr  0.0000  0.0000  0.0000 x1
Cd  0.6667  0.3333  0.3373 x1
Hg  0.3333  0.6667  0.6710 x1

Calculated values
energy relative to the elements	0.0	eV per formula unit
E_tot	-9.801	eV/cell

Density functional theory data (PBE) for a relaxed Zr7CdHg3 crystal.

Cell: 10.8139 10.2183 5.2925 Å, 90.00 116.57 90.00°
Space group C2/m (No. 12)
Inequivalent atoms, fractional coordinates:
Zr  0.0000  0.0000  0.0000 x2
Zr  0.1972  0.5000  0.1730 x4
Zr  0.2001  0.2905  0.7025 x8
Cd  0.0000  0.0000  0.5000 x2
Hg  0.0000  0.2793  0.0000 x4
Hg  0.0000  0.5000  0.5000 x2

Calculated values
energy relative to the elements	2.1	eV per formula unit
E_tot	-119.146	eV/cell

Density functional theory data (PBE) for a relaxed Zr2Cd5Hg crystal.

Cell: 6.3474 12.6928 4.2967 Å, 90.00 90.00 90.00°
Space group Pbam (No. 55)
Inequivalent atoms, fractional coordinates:
Zr  0.2444  0.1231  0.0000 x4
Cd  0.0000  0.5000  0.5000 x2
Cd  0.0060  0.7484  0.5000 x4
Cd  0.2444  0.3725  0.0000 x4
Hg  0.0000  0.0000  0.5000 x2

Calculated values
energy relative to the elements	-0.8	eV per formula unit
E_tot	-45.642	eV/cell

Density functional theory data (PBE) for a relaxed ZrCdHg3 crystal.

Cell: 5.6537 5.6537 5.6537 Å, 90.00 90.00 90.00°
Space group Pm-3m (No. 221)
Inequivalent atoms, fractional coordinates:
Zr  0.0000  0.0000  0.0000 x1
Cd  0.5000  0.5000  0.5000 x1
Hg  0.0000  0.0000  0.5000 x3

Calculated values
energy relative to the elements	2.9	eV per formula unit
relative energy among the computed polymorphs	576	meV per atom
E_tot	-7.515	eV/cell

Density functional theory data (PBE) for a relaxed Zr2Cd3Hg2 crystal.

Cell: 8.3831 4.8142 8.2145 Å, 90.00 109.60 90.00°
Space group C2/m (No. 12)
Inequivalent atoms, fractional coordinates:
Zr  0.2124  0.0000  0.1366 x4
Cd  0.0000  0.5000  0.0000 x2
Cd  0.1424  0.5000  0.4266 x4
Hg  0.0752  0.0000  0.7265 x4

Calculated values
energy relative to the elements	0.0	eV per formula unit
relative energy among the computed polymorphs	17	meV per atom
E_tot	-40.827	eV/cell

Density functional theory data (PBE) for a relaxed Zr5Cd12Hg3 crystal.

Cell: 16.8065 16.8065 16.8065 Å, 90.00 90.00 90.00°
Space group Ia-3d (No. 230)
Inequivalent atoms, fractional coordinates:
Zr  0.0000  0.0000  0.0000 x16
Zr  0.0000  0.2500  0.3750 x24
Cd  0.0097  0.0806  0.6516 x96
Hg  0.0000  0.2500  0.1250 x24

Calculated values
energy relative to the elements	13.3	eV per formula unit
E_tot	-330.448	eV/cell

Density functional theory data (PBE) for a relaxed Zr4Cd2Hg crystal.

Cell: 3.1924 20.2945 5.2158 Å, 90.00 90.00 90.00°
Space group Cmmm (No. 65)
Inequivalent atoms, fractional coordinates:
Zr  0.0000  0.0719  0.0000 x4
Zr  0.0000  0.1835  0.5000 x4
Cd  0.0000  0.3070  0.0000 x4
Hg  0.0000  0.0000  0.5000 x2

Calculated values
energy relative to the elements	1.7	eV per formula unit
relative energy among the computed polymorphs	175	meV per atom
E_tot	-69.202	eV/cell

Density functional theory data (PBE) for a relaxed ZrCdHg crystal.

Cell: 3.1559 5.4044 8.1135 Å, 74.68 79.02 89.83°
Space group P-1 (No. 2)
Inequivalent atoms, fractional coordinates:
Zr  0.0711  0.2599  0.3471 x2
Cd  0.2543  0.7415  0.9983 x2
Hg  0.4105  0.2268  0.6805 x2

Calculated values
energy relative to the elements	-0.2	eV per formula unit
E_tot	-19.956	eV/cell